No. 1
The following is a DFT calculation (SCAN) of a crystal of LiMgCd2 relaxed with PBEsol.

Cell and atoms, written as CIF:
```
data_LiMgCd2
_symmetry_space_group_name_H-M 'P m m 2'
_symmetry_Int_Tables_number 25
_cell_length_a 3.1261
_cell_length_b 4.8018
_cell_length_c 5.1224
_cell_angle_alpha 90.00
_cell_angle_beta 90.00
_cell_angle_gamma 90.00
loop_
_symmetry_equiv_pos_as_xyz
'x,y,z'
'-x,-y,z'
'-x,y,z'
'x,-y,z'
loop_
_atom_site_label
_atom_site_fract_x
_atom_site_fract_y
_atom_site_fract_z
Li1 0.0000 0.0000 0.0000
Mg1 0.0000 0.5000 0.3617
Cd1 0.5000 0.0000 0.5117
Cd2 0.5000 0.5000 0.8672
```

Summary:
V in A^3/atom: 19.22
Total energy in eV per atom: -17.297
DFT formation energy in eV per atom: -0.25

---

No. 2
The following is a DFT calculation (SCAN) of a crystal of Bi2IrOs2 relaxed with PBEsol.

Cell and atoms, written as CIF:
```
data_Bi2IrOs2
_symmetry_space_group_name_H-M 'I 4/m m m'
_symmetry_Int_Tables_number 139
_symmetry_space_group_name_Hall '-I 4 2'
_cell_length_a 4.1645
_cell_length_b 4.1645
_cell_length_c 11.8611
_cell_angle_alpha 90.00
_cell_angle_beta 90.00
_cell_angle_gamma 90.00
loop_
_atom_site_label
_atom_site_fract_x
_atom_site_fract_y
_atom_site_fract_z
Bi1 0.0000 0.5000 0.2500
Ir1 0.0000 0.0000 0.0000
Os1 0.0000 0.0000 0.4007
```

Summary:
V in A^3/atom: 20.57
Total energy in eV per atom: -72.827
DFT formation energy in eV per atom: 1.58

---

No. 3
The following is a DFT calculation (SCAN) of a crystal of Y2TaAs relaxed with PBEsol.

Cell and atoms, written as CIF:
```
data_Y2TaAs
_symmetry_space_group_name_H-M 'I 4/m m m'
_symmetry_Int_Tables_number 139
_symmetry_space_group_name_Hall '-I 4 2'
_cell_length_a 4.3410
_cell_length_b 4.3410
_cell_length_c 9.0543
_cell_angle_alpha 90.00
_cell_angle_beta 90.00
_cell_angle_gamma 90.00
loop_
_atom_site_label
_atom_site_fract_x
_atom_site_fract_y
_atom_site_fract_z
Y1 0.0000 0.5000 0.2500
Ta1 0.0000 0.0000 0.0000
As1 0.0000 0.0000 0.5000
```

Summary:
V in A^3/atom: 21.33
Total energy in eV per atom: -35.602
DFT formation energy in eV per atom: 0.01

---

No. 4
The following is a DFT calculation (SCAN) of a crystal of Ba2Zn2Cd relaxed with PBEsol.

Cell and atoms, written as CIF:
```
data_Ba2Zn2Cd
_symmetry_space_group_name_H-M 'P 4/m b m'
_symmetry_Int_Tables_number 127
_symmetry_space_group_name_Hall '-P 4 2ab'
_cell_length_a 7.8150
_cell_length_b 7.8150
_cell_length_c 4.8987
_cell_angle_alpha 90.00
_cell_angle_beta 90.00
_cell_angle_gamma 90.00
loop_
_atom_site_label
_atom_site_fract_x
_atom_site_fract_y
_atom_site_fract_z
Ba1 0.1878 0.3122 0.0000
Zn1 0.1133 0.6133 0.5000
Cd1 0.0000 0.0000 0.5000
```

Summary:
V in A^3/atom: 29.92
Total energy in eV per atom: -27.478
DFT formation energy in eV per atom: -0.17

---

No. 5
The following is a DFT calculation (SCAN) of a crystal of TlSe2S relaxed with PBEsol.

Cell and atoms, written as CIF:
```
data_TlSe2S
_symmetry_space_group_name_H-M 'R -3 m'
_symmetry_Int_Tables_number 166
_symmetry_space_group_name_Hall '-R 3 2"'
_cell_length_a 3.4993
_cell_length_b 3.4993
_cell_length_c 27.7128
_cell_angle_alpha 90.00
_cell_angle_beta 90.00
_cell_angle_gamma 120.00
loop_
_atom_site_label
_atom_site_fract_x
_atom_site_fract_y
_atom_site_fract_z
Tl1 0.0000 0.0000 0.0000
Se1 0.0000 0.0000 0.1107
S1 0.0000 0.0000 0.5000
```

Summary:
Formation energy without anion corrections in eV per atom: 0.35
V in A^3/atom: 24.49
Total energy in eV per atom: -30.188

---

No. 6
The following is a DFT calculation (SCAN) of a crystal of SrLaTl relaxed with PBEsol.

Cell and atoms, written as CIF:
```
data_SrLaTl
_symmetry_space_group_name_H-M 'P 3 m 1'
_symmetry_Int_Tables_number 156
_cell_length_a 3.8666
_cell_length_b 3.8666
_cell_length_c 8.3945
_cell_angle_alpha 90.00
_cell_angle_beta 90.00
_cell_angle_gamma 120.00
loop_
_symmetry_equiv_pos_as_xyz
'x,y,z'
'-y,x-y,z'
'-x+y,-x,z'
'-y,-x,z'
'-x+y,y,z'
'x,x-y,z'
loop_
_atom_site_label
_atom_site_fract_x
_atom_site_fract_y
_atom_site_fract_z
Sr1 0.0000 0.0000 0.0000
La1 0.3333 0.6667 0.4055
Tl1 0.6667 0.3333 0.6971
```

Summary:
V in A^3/atom: 36.23
Total energy in eV per atom: -46.121
DFT formation energy in eV per atom: -0.21

---

No. 7
The following is a DFT calculation (SCAN) of a crystal of TaFeHg2Au relaxed with PBEsol.

Cell and atoms, written as CIF:
```
data_TaFeHg2Au
_symmetry_space_group_name_H-M 'P 4/m m m'
_symmetry_Int_Tables_number 123
_symmetry_space_group_name_Hall '-P 4 2'
_cell_length_a 4.8463
_cell_length_b 4.8463
_cell_length_c 4.3415
_cell_angle_alpha 90.00
_cell_angle_beta 90.00
_cell_angle_gamma 90.00
loop_
_atom_site_label
_atom_site_fract_x
_atom_site_fract_y
_atom_site_fract_z
Ta1 0.0000 0.0000 0.0000
Fe1 0.0000 0.0000 0.5000
Hg1 0.0000 0.5000 0.5000
Au1 0.5000 0.5000 0.0000
```

Summary:
V in A^3/atom: 20.39
Total energy in eV per atom: -57.189
DFT formation energy in eV per atom: 0.85

---

No. 8
The following is a DFT calculation (SCAN) of a crystal of MnCo2Mo relaxed with PBEsol.

Cell and atoms, written as CIF:
```
data_MnCo2Mo
_symmetry_space_group_name_H-M 'I 4/m m m'
_symmetry_Int_Tables_number 139
_symmetry_space_group_name_Hall '-I 4 2'
_cell_length_a 3.5455
_cell_length_b 3.5455
_cell_length_c 7.1789
_cell_angle_alpha 90.00
_cell_angle_beta 90.00
_cell_angle_gamma 90.00
loop_
_atom_site_label
_atom_site_fract_x
_atom_site_fract_y
_atom_site_fract_z
Mn1 0.0000 0.0000 0.0000
Co1 0.0000 0.5000 0.2500
Mo1 0.0000 0.0000 0.5000
```

Summary:
V in A^3/atom: 11.28
Total energy in eV per atom: -21.795
DFT formation energy in eV per atom: 0.14
Polymorph energy (0 for the lowest one) in meV/atom: 73.7